Entry 1:
A geometry-optimized NaPrZnPt structure, computed with PBE-GGA.

Values from the calculation:
N(E_F) = 3.29 states/eV per cell
ΔH_f (0 K) = -1.54 eV/f.u.

Structure (extended XYZ):
```
4
Lattice="5.022 0.000 0.000 2.511 4.349 0.000 2.511 1.450 4.100" Properties=species:S:1:pos:R:3 pbc="T T T"
Pt 7.533 4.349 3.075
Na 5.022 2.899 2.050
Pr 0.000 0.000 0.000
Zn 2.511 1.450 1.025
```

***

Entry 2:
A geometry-optimized NaPr2Pu structure, computed with PBE-GGA.

Values from the calculation:
N(E_F) = 9.16 states/eV per cell
ΔH_f (0 K) = 0.75 eV/f.u.

Structure (extended XYZ):
```
4
Lattice="3.518 0.000 0.000 0.000 3.518 0.000 0.000 0.000 10.842" Properties=species:S:1:pos:R:3 pbc="T T T"
Na 1.759 1.759 5.421
Pu 1.759 1.759 0.000
Pr 0.000 0.000 2.450
Pr 0.000 0.000 8.392
```

***

Entry 3:
A geometry-optimized NaPr2PuS4 structure, computed with PBE-GGA.

Values from the calculation:
N(E_F) = 12.60 states/eV per cell
Uncorrected formation energy = -14.55 eV/f.u.

Structure (extended XYZ):
```
8
Lattice="-3.982 -0.206 -0.819 1.437 -0.471 -6.863 0.725 -6.784 -1.815" Properties=species:S:1:pos:R:3 pbc="T T T"
S -3.433 -1.979 -3.040
S -0.737 -2.133 -5.990
S -1.083 -5.328 -3.507
S 1.613 -5.482 -6.457
Pr 0.725 -6.784 -1.815
Pr -1.629 -3.495 -1.317
Pu -1.273 -0.339 -3.841
Na 1.081 -3.628 -4.339
```